(1)
Computed, not measured: a relaxed structure of Sr2Mg2Zn15 at the PBE-GGA level of DFT.

- ΔH_f (0 K): -0.1773 eV/atom
- Calculated total energy: -1.528 eV/atom
- Space group: R-3m (166)
- Calculated volume: 17.9 Å³ per atom

Cell and atoms, written as POSCAR:
```
Sr2Mg2Zn15
1.0
4.6579 2.6893 4.5161
-4.6579 2.6893 4.5161
0.0000 -5.3785 4.5161
Sr Mg Zn
2 2 15
Cartesian
0.0000 0.0000 2.1073
0.0000 0.0000 11.4411
0.0000 0.0000 5.3624
0.0000 0.0000 8.1860
-2.3290 -1.3446 4.5161
0.0000 -2.7376 4.3215
-2.3708 1.3688 4.3215
-1.3572 -2.3508 6.7742
-2.7144 0.0000 6.7742
-2.3708 -1.3688 9.2268
-2.3290 1.3446 9.0322
1.3572 -2.3508 6.7742
0.0000 2.6893 4.5161
-1.3572 2.3508 6.7742
2.3708 1.3688 4.3215
2.7144 0.0000 6.7742
1.3572 2.3508 6.7742
2.3708 -1.3688 9.2268
0.0000 2.7376 9.2268
```



(2)
Computed, not measured: a relaxed structure of NaTaBiTe2 at the PBE-GGA level of DFT.

- Formation energy from raw total energies: 24 meV per atom
- Calculated total energy: -4.643 eV/atom
- Space group: P4/mmm (123)
- Calculated volume: 33.7 Å³ per atom

Cell and atoms, written as POSCAR:
```
NaTaBiTe2
1.0
5.4823 0.0000 0.0000
0.0000 5.4823 0.0000
0.0000 0.0000 5.6047
Na Ta Bi Te
1 1 1 2
Cartesian
0.0000 0.0000 0.0000
2.7412 2.7412 2.8023
2.7412 2.7412 0.0000
0.0000 2.7412 2.8023
2.7412 0.0000 2.8023
```